Y3H12Au5 | GGA-PBE | relaxed

```
Y3H12Au5
1.0
-3.927 -1.492 9.728
0.402 -9.275 -5.107
9.759 4.064 0.715
Y Au H
12 20 48
direct
0.750 0.375 0.125
0.875 0.750 0.125
0.375 0.750 0.625
0.250 0.125 0.375
0.875 0.125 0.250
0.375 0.625 0.250
0.625 0.375 0.750
0.125 0.875 0.750
0.750 0.875 0.625
0.625 0.250 0.375
0.125 0.250 0.875
0.250 0.625 0.875
0.125 0.375 0.250
0.000 0.500 0.000
0.000 0.000 0.000
0.375 0.250 0.125
0.500 0.000 0.500
0.500 0.500 0.000
0.125 0.750 0.375
0.750 0.125 0.875
0.750 0.625 0.375
0.375 0.125 0.750
0.625 0.875 0.250
0.500 0.500 0.500
0.500 0.000 0.000
0.000 0.000 0.500
0.250 0.375 0.625
0.250 0.875 0.125
0.000 0.500 0.500
0.875 0.250 0.625
0.625 0.750 0.875
0.875 0.625 0.750
0.713 0.131 0.034
0.321 0.534 0.404
0.966 0.369 0.287
0.534 0.213 0.131
0.582 0.713 0.679
0.966 0.596 0.179
0.321 0.787 0.418
0.096 0.918 0.131
0.596 0.966 0.679
0.713 0.582 0.179
0.787 0.466 0.369
0.821 0.904 0.034
0.131 0.713 0.534
0.369 0.404 0.082
0.082 0.904 0.369
0.418 0.131 0.596
0.082 0.179 0.213
0.466 0.679 0.096
0.821 0.918 0.287
0.131 0.418 0.096
0.369 0.966 0.787
0.596 0.631 0.418
0.904 0.821 0.534
0.787 0.321 0.918
0.404 0.369 0.582
0.096 0.179 0.466
0.213 0.679 0.082
0.179 0.082 0.713
0.631 0.034 0.213
0.869 0.582 0.904
0.534 0.321 0.904
0.582 0.869 0.404
0.918 0.821 0.787
0.918 0.096 0.631
0.869 0.287 0.466
0.179 0.096 0.966
0.631 0.596 0.918
0.404 0.034 0.321
0.287 0.418 0.821
0.213 0.534 0.631
0.904 0.082 0.869
0.679 0.213 0.582
0.466 0.787 0.869
0.034 0.404 0.821
0.418 0.287 0.321
0.034 0.631 0.713
0.679 0.466 0.596
0.287 0.869 0.966
```

raw total energy	-3.931	eV per atom
M_tot	0.0	μB/f.u.
calculated density	9.2	g cm⁻³
SG	Ia-3d, No. 230